First-principles (PBE-GGA) data for crystalline CrW3 at its relaxed geometry, as listed in Alexandria via LeMat-Bulk.

The final energy comes out at -11.64 eV/atom. For the total magnetic moment, the calculation gives 0.0 μB/f.u.

a = 2.5835 Å, b = 4.6621 Å, c = 5.1739 Å
α = 90.00°, β = 90.00°, γ = 90.00°
Last column: nearest neighbours and their distance in Å.
Sites, in units of the cell vectors:
W  0.5000  0.0000  0.5199  8 W 2.58-2.88, 2 Cr 2.87
W  0.5000  0.5000  0.8212  6 W 2.58-2.84, 4 Cr 2.85
W  0.0000  0.5000  0.3109  8 W 2.58-2.88, 2 Cr 2.79
Cr  0.0000  0.0000  0.0147  2 Cr 2.58, 8 W 2.79-2.87